[1]
Compound: Sr6Ca3Mg
Source: the Alexandria database
Functional: PBE-GGA
Structure: relaxed

Summary:
Energy above the lowest structure with this stoichiometry: 0.1080 eV/atom
Total magnetic moment: 0.000 μB per cell
Formation energy: 0.13 eV/atom

Lattice parameters (Å, degrees): 6.973 11.851 12.223 90.00 92.55 90.00
Sites, in units of the cell vectors:
Mg1 0.500 0.500 0.500
Mg2 0.000 0.000 0.000
Sr1 0.424 0.835 0.036
Sr2 0.446 0.828 0.442
Sr3 0.076 0.335 0.464
Sr4 0.946 0.672 0.942
Sr5 0.054 0.328 0.058
Sr6 0.113 0.156 0.766
Sr7 0.554 0.172 0.558
Sr8 0.613 0.344 0.266
Sr9 0.387 0.656 0.734
Sr10 0.924 0.665 0.536
Sr11 0.887 0.844 0.234
Sr12 0.576 0.165 0.964
Ca1 0.500 0.500 0.000
Ca2 0.777 0.417 0.745
Ca3 0.000 0.000 0.500
Ca4 0.277 0.083 0.245
Ca5 0.723 0.917 0.755
Ca6 0.223 0.583 0.255



[2]
Compound: Sr6CaMg
Source: the Alexandria database
Functional: PBE-GGA
Structure: relaxed

Summary:
Total magnetic moment: 0.000 μB per cell
Formation energy: 0.02 eV/atom

Lattice parameters (Å, degrees): 6.045 6.045 11.412 74.64 74.64 90.00
Sites, in units of the cell vectors:
Sr1 0.747 0.747 0.506
Sr2 0.392 0.892 0.216
Sr3 0.892 0.392 0.216
Sr4 0.108 0.608 0.784
Sr5 0.608 0.108 0.784
Sr6 0.253 0.253 0.494
Mg1 0.000 0.000 0.000
Ca1 0.500 0.500 0.000



[3]
Compound: Sr2Ca3Mg
Source: the Alexandria database
Functional: PBE-GGA
Structure: relaxed

Summary:
Energy above the lowest structure with this stoichiometry: 0.0000 eV/atom
Total magnetic moment: 0.000 μB per cell
Formation energy: 0.02 eV/atom

Lattice parameters (Å, degrees): 5.876 9.324 9.798 90.00 90.00 71.63
Sites, in units of the cell vectors:
Ca1 0.500 0.000 0.228
Ca2 0.500 0.000 0.772
Ca3 0.822 0.355 0.203
Ca4 0.178 0.645 0.203
Ca5 0.178 0.645 0.797
Ca6 0.822 0.355 0.797
Sr1 0.334 0.333 0.500
Sr2 0.000 0.000 0.500
Sr3 0.666 0.667 0.500
Sr4 0.000 0.000 0.000
Mg1 0.653 0.694 0.000
Mg2 0.347 0.306 0.000



[4]
Compound: Sr6Ca12Mg
Source: the Alexandria database
Functional: PBE-GGA
Structure: relaxed

Summary:
Total magnetic moment: 0.000 μB per cell
Formation energy: 0.07 eV/atom

Lattice parameters (Å, degrees): 9.549 9.549 9.549 90.90 90.90 90.90
Sites, in units of the cell vectors:
Ca1 0.852 0.632 0.952
Ca2 0.048 0.148 0.368
Ca3 0.528 0.451 0.795
Ca4 0.549 0.205 0.472
Ca5 0.205 0.472 0.549
Ca6 0.472 0.549 0.205
Ca7 0.632 0.952 0.852
Ca8 0.451 0.795 0.528
Ca9 0.795 0.528 0.451
Ca10 0.952 0.852 0.632
Ca11 0.148 0.368 0.048
Ca12 0.368 0.048 0.148
Sr1 0.270 0.114 0.742
Sr2 0.730 0.886 0.258
Sr3 0.258 0.730 0.886
Sr4 0.114 0.742 0.270
Sr5 0.886 0.258 0.730
Sr6 0.742 0.270 0.114
Mg1 0.000 0.000 0.000



[5]
Compound: Sr12Ca7Mg
Source: the Alexandria database
Functional: PBE-GGA
Structure: relaxed

Summary:
Energy above the lowest structure with this stoichiometry: 0.3738 eV/atom
Total magnetic moment: 0.174 μB per cell
Formation energy: 0.50 eV/atom

Lattice parameters (Å, degrees): 12.211 12.211 12.211 109.47 109.47 109.47
Sites, in units of the cell vectors:
Sr1 0.248 0.600 0.351
Sr2 0.600 0.351 0.248
Sr3 0.351 0.248 0.600
Sr4 0.649 0.752 0.400
Sr5 0.103 0.351 0.752
Sr6 0.351 0.752 0.103
Sr7 0.400 0.649 0.752
Sr8 0.248 0.897 0.649
Sr9 0.752 0.400 0.649
Sr10 0.752 0.103 0.351
Sr11 0.897 0.649 0.248
Sr12 0.649 0.248 0.897
Ca1 0.500 0.000 0.500
Ca2 0.500 0.500 0.000
Ca3 0.500 0.000 0.000
Ca4 0.000 0.500 0.500
Ca5 0.000 0.000 0.500
Ca6 0.000 0.500 0.000
Ca7 0.500 0.500 0.500
Mg1 0.000 0.000 0.000



[6]
Compound: Sr6Ca3Mg
Source: the Alexandria database
Functional: PBE-GGA
Structure: relaxed

Summary:
Energy above the lowest structure with this stoichiometry: 0.0000 eV/atom
Total magnetic moment: 0.001 μB per cell
Formation energy: 0.02 eV/atom

Lattice parameters (Å, degrees): 6.569 10.807 14.341 111.78 90.00 90.00
Sites, in units of the cell vectors:
Sr1 0.750 0.922 0.142
Sr2 0.250 0.860 0.303
Sr3 0.750 0.845 0.832
Sr4 0.750 0.140 0.697
Sr5 0.750 0.764 0.514
Sr6 0.750 0.529 0.923
Sr7 0.250 0.471 0.077
Sr8 0.250 0.155 0.168
Sr9 0.250 0.236 0.486
Sr10 0.250 0.675 0.667
Sr11 0.250 0.078 0.858
Sr12 0.750 0.325 0.333
Ca1 0.750 0.232 0.027
Ca2 0.750 0.455 0.625
Ca3 0.750 0.614 0.226
Ca4 0.250 0.768 0.973
Ca5 0.250 0.386 0.774
Ca6 0.250 0.545 0.375
Mg1 0.750 0.040 0.418
Mg2 0.250 0.960 0.582



[7]
Compound: SrCa4Mg
Source: the Alexandria database
Functional: PBE-GGA
Structure: relaxed

Summary:
Energy above the lowest structure with this stoichiometry: 0.0390 eV/atom
Total magnetic moment: 0.000 μB per cell
Formation energy: 0.03 eV/atom

Lattice parameters (Å, degrees): 5.085 9.246 10.857 90.00 90.00 90.00
Sites, in units of the cell vectors:
Ca1 0.500 0.049 0.250
Ca2 0.000 0.000 0.500
Ca3 0.500 0.307 0.559
Ca4 0.500 0.951 0.750
Ca5 0.500 0.693 0.059
Ca6 0.500 0.307 0.941
Ca7 0.000 0.000 0.000
Ca8 0.500 0.693 0.441
Sr1 0.000 0.395 0.250
Sr2 0.000 0.605 0.750
Mg1 0.000 0.790 0.250
Mg2 0.000 0.210 0.750



[8]
Compound: SrCaMg
Source: the Alexandria database
Functional: PBE-GGA
Structure: relaxed

Summary:
Energy above the lowest structure with this stoichiometry: 0.0048 eV/atom
Total magnetic moment: 0.000 μB per cell
Formation energy: -0.03 eV/atom

Lattice parameters (Å, degrees): 3.990 9.064 12.814 90.00 90.00 90.00
Sites, in units of the cell vectors:
Mg1 0.250 0.132 0.779
Mg2 0.750 0.868 0.221
Mg3 0.750 0.368 0.279
Mg4 0.250 0.632 0.721
Sr1 0.750 0.345 0.589
Sr2 0.750 0.845 0.911
Sr3 0.250 0.655 0.411
Sr4 0.250 0.155 0.089
Ca1 0.750 0.411 0.883
Ca2 0.250 0.589 0.117
Ca3 0.750 0.911 0.617
Ca4 0.250 0.089 0.383



[9]
Compound: SrCa2Mg2
Source: the Alexandria database
Functional: PBE-GGA
Structure: relaxed

Summary:
Energy above the lowest structure with this stoichiometry: 0.0100 eV/atom
Total magnetic moment: 0.000 μB per cell
Formation energy: -0.03 eV/atom

Lattice parameters (Å, degrees): 9.189 9.189 4.367 90.00 90.00 90.00
Sites, in units of the cell vectors:
Sr1 0.000 0.000 0.000
Sr2 0.500 0.500 0.000
Mg1 0.123 0.377 0.000
Mg2 0.377 0.877 0.000
Mg3 0.877 0.623 0.000
Mg4 0.623 0.123 0.000
Ca1 0.166 0.666 0.500
Ca2 0.334 0.166 0.500
Ca3 0.834 0.334 0.500
Ca4 0.666 0.834 0.500



[10]
Compound: Sr6Ca5Mg
Source: the Alexandria database
Functional: PBE-GGA
Structure: relaxed

Summary:
Total magnetic moment: 0.000 μB per cell
Formation energy: 0.03 eV/atom

Lattice parameters (Å, degrees): 6.812 8.256 10.714 67.26 86.22 89.95
Sites, in units of the cell vectors:
Sr1 0.846 0.084 0.323
Sr2 0.500 0.243 0.000
Sr3 0.154 0.407 0.678
Sr4 0.500 0.757 0.000
Sr5 0.154 0.916 0.677
Sr6 0.846 0.593 0.322
Ca1 0.336 0.830 0.339
Ca2 0.657 0.668 0.663
Ca3 0.664 0.170 0.661
Ca4 0.000 0.500 0.000
Ca5 0.343 0.332 0.337
Mg1 0.000 0.000 0.000



[11]
Compound: Sr4Ca8Mg
Source: the Alexandria database
Functional: PBE-GGA
Structure: relaxed

Summary:
Total magnetic moment: 0.000 μB per cell
Formation energy: 0.02 eV/atom

Lattice parameters (Å, degrees): 6.086 7.165 18.095 53.97 80.32 64.87
Sites, in units of the cell vectors:
Ca1 0.788 0.386 0.037
Ca2 0.997 0.413 0.592
Ca3 0.610 0.019 0.761
Ca4 0.422 0.985 0.172
Ca5 0.243 0.618 0.896
Ca6 0.306 0.720 0.669
Ca7 0.034 0.590 0.341
Ca8 0.726 0.283 0.265
Mg1 0.516 0.002 0.967
Sr1 0.355 0.869 0.420
Sr2 0.929 0.310 0.832
Sr3 0.103 0.694 0.101
Sr4 0.676 0.134 0.514



[12]
Compound: Sr2Ca2Mg
Source: the Alexandria database
Functional: PBE-GGA
Structure: relaxed

Summary:
Energy above the lowest structure with this stoichiometry: 0.0000 eV/atom
Total magnetic moment: 0.000 μB per cell
Formation energy: -0.01 eV/atom

Lattice parameters (Å, degrees): 4.142 4.142 12.710 99.38 99.38 90.00
Sites, in units of the cell vectors:
Ca1 0.199 0.199 0.399
Ca2 0.801 0.801 0.601
Sr1 0.585 0.585 0.170
Sr2 0.415 0.415 0.830
Mg1 0.000 0.000 0.000



[13]
Compound: Sr2CaMg2
Source: the Alexandria database
Functional: PBE-GGA
Structure: relaxed

Summary:
Energy above the lowest structure with this stoichiometry: 0.1415 eV/atom
Total magnetic moment: 0.000 μB per cell
Formation energy: 0.12 eV/atom

Lattice parameters (Å, degrees): 4.248 4.248 12.056 79.85 79.85 90.00
Sites, in units of the cell vectors:
Sr1 0.622 0.622 0.757
Sr2 0.378 0.378 0.243
Mg1 0.750 0.250 0.500
Mg2 0.250 0.750 0.500
Ca1 0.000 0.000 0.000



[14]
Compound: Sr2Ca3Mg3
Source: the Alexandria database
Functional: PBE-GGA
Structure: relaxed

Summary:
Total magnetic moment: 0.000 μB per cell
Formation energy: 0.01 eV/atom

Lattice parameters (Å, degrees): 4.269 5.807 12.359 103.59 99.94 90.00
Sites, in units of the cell vectors:
Ca1 0.500 0.000 0.000
Ca2 0.615 0.615 0.230
Ca3 0.385 0.385 0.770
Mg1 0.111 0.111 0.222
Mg2 0.000 0.500 0.000
Mg3 0.889 0.889 0.778
Sr1 0.270 0.770 0.540
Sr2 0.730 0.230 0.460



[15]
Compound: Sr2CaMg2
Source: the Alexandria database
Functional: PBE-GGA
Structure: relaxed

Summary:
Energy above the lowest structure with this stoichiometry: 0.0120 eV/atom
Total magnetic moment: 0.000 μB per cell
Formation energy: -0.01 eV/atom

Lattice parameters (Å, degrees): 5.790 7.487 9.599 109.57 90.00 90.00
Sites, in units of the cell vectors:
Mg1 0.250 0.394 0.064
Mg2 0.750 0.624 0.624
Mg3 0.250 0.376 0.376
Mg4 0.750 0.606 0.936
Sr1 0.250 0.862 0.573
Sr2 0.750 0.138 0.427
Sr3 0.750 0.109 0.894
Sr4 0.250 0.891 0.106
Ca1 0.750 0.564 0.267
Ca2 0.250 0.436 0.733



[16]
Compound: SrCa2Mg2
Source: the Alexandria database
Functional: PBE-GGA
Structure: relaxed

Summary:
Energy above the lowest structure with this stoichiometry: 0.0243 eV/atom
Total magnetic moment: 0.000 μB per cell
Formation energy: -0.01 eV/atom

Lattice parameters (Å, degrees): 9.703 9.703 3.726 90.00 90.00 90.00
Sites, in units of the cell vectors:
Mg1 0.666 0.834 0.500
Mg2 0.166 0.666 0.500
Mg3 0.834 0.334 0.500
Mg4 0.334 0.166 0.500
Sr1 0.000 0.000 0.000
Sr2 0.500 0.500 0.000
Ca1 0.370 0.870 0.000
Ca2 0.870 0.630 0.000
Ca3 0.630 0.130 0.000
Ca4 0.130 0.370 0.000



[17]
Compound: SrCa3Mg
Source: the Alexandria database
Functional: PBE-GGA
Structure: relaxed

Summary:
Energy above the lowest structure with this stoichiometry: 0.0924 eV/atom
Total magnetic moment: 0.000 μB per cell
Formation energy: 0.13 eV/atom

Lattice parameters (Å, degrees): 4.038 11.669 9.349 90.00 90.05 90.00
Sites, in units of the cell vectors:
Sr1 0.750 0.750 0.617
Sr2 0.250 0.250 0.383
Mg1 0.249 0.750 0.321
Mg2 0.751 0.250 0.679
Ca1 0.756 0.250 0.021
Ca2 0.244 0.750 0.979
Ca3 0.252 0.032 0.787
Ca4 0.748 0.968 0.213
Ca5 0.748 0.532 0.213
Ca6 0.252 0.468 0.787



[18]
Compound: Sr2CaMg2
Source: the Alexandria database
Functional: PBE-GGA
Structure: relaxed

Summary:
Energy above the lowest structure with this stoichiometry: 0.0000 eV/atom
Total magnetic moment: 0.000 μB per cell
Formation energy: -0.02 eV/atom

Lattice parameters (Å, degrees): 9.142 9.142 4.781 90.00 90.00 90.00
Sites, in units of the cell vectors:
Sr1 0.829 0.329 0.500
Sr2 0.171 0.671 0.500
Sr3 0.329 0.171 0.500
Sr4 0.671 0.829 0.500
Mg1 0.123 0.377 0.000
Mg2 0.377 0.877 0.000
Mg3 0.623 0.123 0.000
Mg4 0.877 0.623 0.000
Ca1 0.000 0.000 0.000
Ca2 0.500 0.500 0.000



[19]
Compound: Sr2Ca3Mg2
Source: the Alexandria database
Functional: PBE-GGA
Structure: relaxed

Summary:
Total magnetic moment: 0.000 μB per cell
Formation energy: 0.00 eV/atom

Lattice parameters (Å, degrees): 4.183 3.965 16.916 90.00 97.10 90.00
Sites, in units of the cell vectors:
Ca1 0.000 0.000 0.000
Ca2 0.576 0.500 0.153
Ca3 0.424 0.500 0.847
Sr1 0.696 0.500 0.392
Sr2 0.304 0.500 0.608
Mg1 0.130 0.000 0.261
Mg2 0.870 0.000 0.739



[20]
Compound: Sr5CaMg4
Source: the Alexandria database
Functional: PBE-GGA
Structure: relaxed

Summary:
Total magnetic moment: 0.000 μB per cell
Formation energy: -0.04 eV/atom

Lattice parameters (Å, degrees): 4.175 4.175 22.335 90.00 90.00 90.00
Sites, in units of the cell vectors:
Sr1 0.500 0.500 0.875
Sr2 0.500 0.500 0.688
Sr3 0.500 0.500 0.500
Sr4 0.500 0.500 0.312
Sr5 0.500 0.500 0.125
Mg1 0.000 0.000 0.783
Mg2 0.000 0.000 0.407
Mg3 0.000 0.000 0.593
Mg4 0.000 0.000 0.217
Ca1 0.000 0.000 0.000



[21]
Compound: Sr3CaMg2
Source: the Alexandria database
Functional: PBE-GGA
Structure: relaxed

Summary:
Total magnetic moment: 0.000 μB per cell
Formation energy: -0.03 eV/atom

Lattice parameters (Å, degrees): 4.167 4.167 14.003 90.00 90.00 90.00
Sites, in units of the cell vectors:
Ca1 0.500 0.500 0.500
Mg1 0.500 0.500 0.150
Mg2 0.500 0.500 0.850
Sr1 0.000 0.000 0.701
Sr2 0.000 0.000 0.299
Sr3 0.000 0.000 0.000